A geometry-optimized Lu4CdInN2 structure, computed with PBE.

```
Lu4CdInN2
1.0
3.413 0.000 0.000
-1.707 2.956 0.000
0.000 0.000 15.412
Lu Cd In N
4 1 1 2
direct
0.000 0.000 0.164 Lu
0.000 0.000 0.836 Lu
0.333 0.667 0.333 Lu
0.333 0.667 0.667 Lu
0.333 0.667 0.000 Cd
0.000 0.000 0.500 In
0.667 0.333 0.251 N
0.667 0.333 0.749 N
```

Calculated density: 10.2 g/cm³
Symmetry: P-6m2, No. 187
Calculated total energy: -5.83 eV per atom

A geometry-optimized CsCu3SnSe4 structure, computed with PBE.

```
CsCu3SnSe4
1.0
6.482 0.000 0.000
0.000 6.482 0.000
0.000 0.000 6.482
Cs Cu Sn Se
1 3 1 4
direct
0.000 0.000 0.000 Cs
0.000 0.500 0.500 Cu
0.500 0.000 0.500 Cu
0.500 0.500 0.000 Cu
0.500 0.500 0.500 Sn
0.279 0.279 0.279 Se
0.279 0.721 0.721 Se
0.721 0.279 0.721 Se
0.721 0.721 0.279 Se
```

Calculated density: 4.6 g/cm³
E above lowest polymorph: 2.29 eV per formula unit
Symmetry: P-43m, No. 215
Calculated total energy: -3.50 eV per atom

A geometry-optimized NaLuCdTe3 structure, computed with PBE.

```
NaLuCdTe3
1.0
2.167 -7.427 0.000
2.167 7.427 0.000
0.000 0.000 11.589
Na Lu Cd Te
2 2 2 6
direct
0.233 0.767 0.750 Na
0.767 0.233 0.250 Na
0.000 0.000 0.000 Lu
0.000 0.000 0.500 Lu
0.468 0.532 0.250 Cd
0.532 0.468 0.750 Cd
0.091 0.909 0.250 Te
0.361 0.639 0.052 Te
0.361 0.639 0.448 Te
0.639 0.361 0.552 Te
0.639 0.361 0.948 Te
0.909 0.091 0.750 Te
```

Calculated density: 6.2 g/cm³
E above lowest polymorph: 0.04 eV per formula unit
Symmetry: Cmcm, No. 63
Calculated total energy: -3.62 eV per atom

A geometry-optimized NdScNO structure, computed with PBE.

```
NdScNO
1.0
3.789 0.000 0.000
0.000 6.752 0.000
0.000 0.000 5.200
Nd Sc N O
2 2 2 2
direct
0.000 0.160 0.000 Nd
0.000 0.840 0.500 Nd
0.500 0.329 0.527 Sc
0.500 0.671 0.027 Sc
0.000 0.191 0.498 N
0.000 0.809 0.998 N
0.500 0.378 0.923 O
0.500 0.622 0.423 O
```

Calculated density: 5.5 g/cm³
E above lowest polymorph: 0.16 eV per formula unit
Symmetry: Pmc2_1, No. 26
Calculated total energy: -8.21 eV per atom

A geometry-optimized Y2HoNiIr2Pb3 structure, computed with PBE.

```
Y2HoNiIr2Pb3
1.0
3.765 0.000 0.000
0.000 6.723 3.893
0.000 -6.723 3.893
Y Ho Ni Ir Pb
2 1 1 2 3
direct
0.000 0.203 0.797 Y
0.000 0.797 0.203 Y
0.000 0.391 0.391 Ho
0.000 0.797 0.797 Ni
0.500 0.133 0.464 Ir
0.500 0.464 0.133 Ir
0.500 0.056 0.056 Pb
0.500 0.538 0.797 Pb
0.500 0.797 0.538 Pb
```

Calculated density: 11.9 g/cm³
Symmetry: Amm2, No. 38
Calculated total energy: -6.32 eV per atom

A geometry-optimized Fe2PbCl8 structure, computed with PBE.

```
Fe2PbCl8
1.0
6.459 -4.214 0.000
6.459 4.214 0.000
-1.152 0.000 6.457
Fe Pb Cl
2 1 8
direct
0.199 0.199 0.156 Fe
0.801 0.801 0.844 Fe
0.000 0.000 0.500 Pb
0.094 0.681 0.741 Cl
0.187 0.187 0.813 Cl
0.319 0.906 0.259 Cl
0.363 0.363 0.291 Cl
0.637 0.637 0.709 Cl
0.681 0.094 0.741 Cl
0.813 0.813 0.187 Cl
0.906 0.319 0.259 Cl
```

Calculated density: 2.8 g/cm³
Symmetry: C2/m, No. 12
Calculated total energy: -4.06 eV per atom

A geometry-optimized NaLiTePt structure, computed with PBE.

```
NaLiTePt
1.0
0.000 3.330 3.330
3.330 0.000 3.330
3.330 3.330 0.000
Na Li Te Pt
1 1 1 1
direct
0.000 0.000 0.000 Na
0.250 0.250 0.250 Li
0.750 0.750 0.750 Te
0.500 0.500 0.500 Pt
```

Calculated density: 7.9 g/cm³
E above lowest polymorph: 0.00 eV per formula unit
Symmetry: F-43m, No. 216
Calculated total energy: -3.58 eV per atom

A geometry-optimized YBeFeGe structure, computed with PBE.

```
YBeFeGe
1.0
0.000 3.101 3.101
3.101 0.000 3.101
3.101 3.101 0.000
Y Be Fe Ge
1 1 1 1
direct
0.000 0.000 0.000 Y
0.250 0.250 0.250 Be
0.750 0.750 0.750 Fe
0.500 0.500 0.500 Ge
```

Calculated density: 6.3 g/cm³
E above lowest polymorph: 0.20 eV per formula unit
Symmetry: F-43m, No. 216
Calculated total energy: -5.69 eV per atom

> Which value of calculated density does entry 4 give?

5.5 g/cm³

> Look up the calculated density of the seventh one.

7.9 g/cm³

Repeat the fifth record exactly.
A geometry-optimized Y2HoNiIr2Pb3 structure, computed with PBE.

```
Y2HoNiIr2Pb3
1.0
3.765 0.000 0.000
0.000 6.723 3.893
0.000 -6.723 3.893
Y Ho Ni Ir Pb
2 1 1 2 3
direct
0.000 0.203 0.797 Y
0.000 0.797 0.203 Y
0.000 0.391 0.391 Ho
0.000 0.797 0.797 Ni
0.500 0.133 0.464 Ir
0.500 0.464 0.133 Ir
0.500 0.056 0.056 Pb
0.500 0.538 0.797 Pb
0.500 0.797 0.538 Pb
```

Calculated density: 11.9 g/cm³
Symmetry: Amm2, No. 38
Calculated total energy: -6.32 eV per atom

Copy entry 3 word for word.
A geometry-optimized NaLuCdTe3 structure, computed with PBE.

```
NaLuCdTe3
1.0
2.167 -7.427 0.000
2.167 7.427 0.000
0.000 0.000 11.589
Na Lu Cd Te
2 2 2 6
direct
0.233 0.767 0.750 Na
0.767 0.233 0.250 Na
0.000 0.000 0.000 Lu
0.000 0.000 0.500 Lu
0.468 0.532 0.250 Cd
0.532 0.468 0.750 Cd
0.091 0.909 0.250 Te
0.361 0.639 0.052 Te
0.361 0.639 0.448 Te
0.639 0.361 0.552 Te
0.639 0.361 0.948 Te
0.909 0.091 0.750 Te
```

Calculated density: 6.2 g/cm³
E above lowest polymorph: 0.04 eV per formula unit
Symmetry: Cmcm, No. 63
Calculated total energy: -3.62 eV per atom